# 1
Below is a relaxed Nd2Pa2Te7 crystal, with properties calculated at the GGA-PBE level.

a = 4.330 Å, b = 16.206 Å, c = 9.824 Å
α = 90.00°, β = 90.00°, γ = 90.00°
Space group Imm2 (No. 44)
One atom of each set of equivalent atoms:
Nd 0.000 0.238 0.000 [4 per cell]
Pa 0.000 0.000 0.232 [2 per cell]
Pa 0.000 0.500 0.181 [2 per cell]
Te 0.000 0.000 0.919 [2 per cell]
Te 0.000 0.106 0.508 [4 per cell]
Te 0.000 0.322 0.294 [4 per cell]
Te 0.000 0.364 0.692 [4 per cell]

Computed properties:
D(E_F) (states/eV per atom): 0.699
Final energy (Ry per atom): -0.41831
ΔE_f (raw) (eV per atom): -1.099
V (A^3/atom): 31.3
Magnetic moment (μB/f.u.): 1.8


# 2
Below is a relaxed Nd2PaTe4 crystal, with properties calculated at the GGA-PBE level.

a = 4.295 Å, b = 14.812 Å, c = 15.155 Å
α = 90.00°, β = 90.00°, γ = 90.00°
Space group Cmcm (No. 63)
One atom of each set of equivalent atoms:
Nd 0.000 0.136 0.068 [8 per cell]
Pa 0.000 0.376 0.250 [4 per cell]
Te 0.000 0.031 0.250 [4 per cell]
Te 0.000 0.219 0.629 [8 per cell]
Te 0.000 0.500 0.000 [4 per cell]

Computed properties:
D(E_F) (states/eV per atom): 1.156
Final energy (Ry per atom): -0.41368
ΔE_f (raw) (eV per atom): -1.114
V (A^3/atom): 34.4
Magnetic moment (μB/f.u.): 1.6


# 3
Below is a relaxed Nd2PaTe5 crystal, with properties calculated at the GGA-PBE level.

a = 6.214 Å, b = 14.700 Å, c = 14.885 Å
α = 90.00°, β = 90.00°, γ = 90.00°
Space group Cmcm (No. 63)
One atom of each set of equivalent atoms:
Nd 0.000 0.153 0.056 [8 per cell]
Pa 0.000 0.204 0.750 [4 per cell]
Te 0.000 0.046 0.624 [8 per cell]
Te 0.000 0.264 0.250 [4 per cell]
Te 0.000 0.327 0.578 [8 per cell]

Computed properties:
D(E_F) (states/eV per atom): 0.508
Final energy (Ry per atom): -0.40139
ΔE_f (raw) (eV per atom): -1.119
V (A^3/atom): 42.5
Magnetic moment (μB/f.u.): 1.0